# Mg2InSb, optimized geometry, DFT PBE-GGA
data_Mg2InSb
_cell_length_a 8.143
_cell_length_b 8.143
_cell_length_c 6.455
_cell_angle_alpha 90.00
_cell_angle_beta 90.00
_cell_angle_gamma 90.00
_symmetry_space_group_name_H-M 'I -4 2 d'
_symmetry_Int_Tables_number 122
_symmetry_space_group_name_Hall 'I -4 2bw'
loop_
_atom_site_label
_atom_site_type_symbol
_atom_site_fract_x
_atom_site_fract_y
_atom_site_fract_z
Mg1 Mg 0.229 0.750 0.125
In1 In 0.000 0.000 0.500
Sb1 Sb 0.000 0.000 0.000
# - formation energy without anion corrections (kJ/mol of formula units) = 4
# - polymorph energy (0 for the lowest one) (meV per atom) = 161.3
# - total moment (μB/cell) = 0.00

=====

# RuRhPb, optimized geometry, DFT PBE-GGA
data_RuRhPb
_cell_length_a 6.225
_cell_length_b 6.225
_cell_length_c 6.225
_cell_angle_alpha 90.00
_cell_angle_beta 90.00
_cell_angle_gamma 90.00
_symmetry_space_group_name_H-M 'F -4 3 m'
_symmetry_Int_Tables_number 216
_symmetry_space_group_name_Hall 'F -4 2 3'
loop_
_atom_site_label
_atom_site_type_symbol
_atom_site_fract_x
_atom_site_fract_y
_atom_site_fract_z
Ru1 Ru 0.000 0.000 0.000
Rh1 Rh 0.250 0.250 0.250
Pb1 Pb 0.000 0.000 0.500
# - formation energy (eV per atom) = 0.478
# - polymorph energy (0 for the lowest one) (meV per atom) = 60.1
# - total moment (μB/cell) = 8.02